DFT (PBE) results for an optimized crystal structure of Nd2ZnRu2.

Properties
M_tot   0.00 μB per formula unit
Space group   C2/c (15)
Volume   216.24 Å³/cell
E   -60.9 eV per cell

a b c (Å): 5.674 5.674 8.142
angles (deg): 103.55 103.55 58.92
Positions (direct):
Nd 0.007 0.701 0.854
Nd 0.299 0.993 0.646
Nd 0.701 0.007 0.354
Nd 0.993 0.299 0.146
Zn 0.372 0.628 0.250
Zn 0.628 0.372 0.750
Ru 0.212 0.511 0.488
Ru 0.489 0.788 0.012
Ru 0.511 0.212 0.988
Ru 0.788 0.489 0.512